No. 1
Here is a relaxed AlRe2Pb crystal from the Alexandria database. Energies are from PBE-GGA.

Results
As for the energy above the most stable polymorph in this dataset: 166 meV per atom. The energy relative to the elements is 0.393 eV per atom. The value obtained for the volume is 18.0 Å³ per atom.

Cell: 9.486 9.486 9.486 Å, 18.11 18.11 18.11°
Atoms (fractional coordinates):
1 Al 0.513 0.513 0.513
2 Re 0.251 0.251 0.251
3 Re 0.990 0.990 0.990
4 Pb 0.747 0.747 0.747

---

No. 2
Here is a relaxed Al2RePb crystal from the Alexandria database. Energies are from PBE-GGA.

Results
The energy relative to the elements is 0.538 eV per atom. The value obtained for the volume is 17.6 Å³ per atom.

Cell: 5.025 5.025 5.025 Å, 131.15 131.15 71.58°
Atoms (fractional coordinates):
1 Pb 0.250 0.750 0.500
2 Al 0.500 0.500 0.000
3 Re 0.750 0.250 0.500
4 Al 0.000 0.000 0.000

---

No. 3
Here is a relaxed Al3RePb crystal from the Alexandria database. Energies are from PBE-GGA.

Results
As for the energy above the most stable polymorph in this dataset: 0 meV per atom. The energy relative to the elements is 0.280 eV per atom. The value obtained for the volume is 22.9 Å³ per atom.

Cell: 4.857 4.857 4.857 Å, 90.00 90.00 90.00°
Atoms (fractional coordinates):
1 Al 0.500 0.000 0.000
2 Re 0.000 0.000 0.000
3 Pb 0.500 0.500 0.500
4 Al 0.000 0.000 0.500
5 Al 0.000 0.500 0.000

---

No. 4
Here is a relaxed AlRe2Pb crystal from the Alexandria database. Energies are from PBE-GGA.

Results
As for the energy above the most stable polymorph in this dataset: 557 meV per atom. The energy relative to the elements is 0.783 eV per atom. The value obtained for the volume is 17.4 Å³ per atom.

Cell: 4.613 4.613 4.613 Å, 60.00 60.00 60.00°
Atoms (fractional coordinates):
1 Re 0.000 0.000 0.000
2 Pb 0.750 0.750 0.750
3 Re 0.250 0.250 0.250
4 Al 0.500 0.500 0.500

---

No. 5
Here is a relaxed AlRePb2 crystal from the Alexandria database. Energies are from PBE-GGA.

Results
The energy relative to the elements is 0.947 eV per atom. The value obtained for the volume is 21.3 Å³ per atom.

Cell: 3.518 5.073 4.779 Å, 90.00 90.00 90.00°
Atoms (fractional coordinates):
1 Pb 0.500 0.500 0.000
2 Pb 0.000 0.000 0.000
3 Re 0.500 0.000 0.500
4 Al 0.000 0.500 0.500

---

No. 6
Here is a relaxed AlRePb2 crystal from the Alexandria database. Energies are from PBE-GGA.

Results
The energy relative to the elements is 0.863 eV per atom. The value obtained for the volume is 22.9 Å³ per atom.

Cell: 3.147 3.147 10.151 Å, 90.00 90.00 114.52°
Atoms (fractional coordinates):
1 Al 0.500 0.500 0.750
2 Re 0.500 0.500 0.250
3 Pb 0.000 0.000 0.024
4 Pb 0.000 0.000 0.476